Entry 1:
# Pr4PtAu | the Alexandria database | PBE | optimized geometry
# Calculated density (Mg/m³): 8.96
# E_tot (eV for the cell shown): -64.16
# Energy above the lowest structure with this stoichiometry (meV/atom): 0
# Total magnetic moment (μB per atom): 0.000
# N(E_F) (states/eV/atom): 1.310
data_Pr4PtAu
_chemical_formula_sum 'Pr8 Pt2 Au2'
_symmetry_space_group_name_H-M 'P 4/m c c'
_symmetry_Int_Tables_number 124
_symmetry_space_group_name_Hall '-P 4 2c'
_cell_length_a 7.220
_cell_length_b 7.220
_cell_length_c 6.797
_cell_angle_alpha 90.00
_cell_angle_beta 90.00
_cell_angle_gamma 90.00
loop_
_atom_site_label
_atom_site_type_symbol
_atom_site_fract_x
_atom_site_fract_y
_atom_site_fract_z
Pr1 Pr 0.171 0.316 0.000
Pt1 Pt 0.000 0.000 0.250
Au1 Au 0.500 0.500 0.250

---

Entry 2:
# PrPtAu4 | the Alexandria database | PBE | optimized geometry
# Calculated density (Mg/m³): 15.47
# E_tot (eV for the cell shown): -105.75
# Total magnetic moment (μB per atom): 0.000
# N(E_F) (states/eV/atom): 0.478
data_PrPtAu4
_chemical_formula_sum 'Pr4 Pt4 Au16'
_symmetry_space_group_name_H-M 'F -4 3 m'
_symmetry_Int_Tables_number 216
_symmetry_space_group_name_Hall 'F -4 2 3'
_cell_length_a 7.843
_cell_length_b 7.843
_cell_length_c 7.843
_cell_angle_alpha 90.00
_cell_angle_beta 90.00
_cell_angle_gamma 90.00
loop_
_atom_site_label
_atom_site_type_symbol
_atom_site_fract_x
_atom_site_fract_y
_atom_site_fract_z
Pr1 Pr 0.000 0.000 0.000
Pt1 Pt 0.250 0.250 0.250
Au1 Au 0.124 0.124 0.624

---

Number 1: ΔH_f (0 K) -0.61 eV per atom. Number 2: ΔH_f (0 K) -0.42 eV per atom.